Tb2CeCdN: relaxed, GGA-PBE.

Structure (POSCAR):
```
Tb2CeCdN
1.0
-3.006 3.543 -1.409
-3.126 -3.340 -1.730
-2.231 -0.164 4.349
N Ce Tb Cd
1 1 2 1
direct
0.000 0.000 0.000 N
0.500 0.000 0.000 Ce
0.000 0.500 0.000 Tb
0.000 0.000 0.500 Tb
0.500 0.500 0.500 Cd
```


Ce6Cd2TcN: relaxed, GGA-PBE.

Structure (POSCAR):
```
Ce6Cd2TcN
1.0
7.230 0.000 -0.003
0.000 7.229 -0.003
3.613 3.613 5.111
Ce Tc N Cd
6 1 1 2
direct
0.765 0.234 0.000 Ce
0.766 0.765 0.000 Ce
0.765 0.765 0.469 Ce
0.235 0.766 0.000 Ce
0.235 0.235 0.531 Ce
0.234 0.235 0.000 Ce
0.500 0.500 0.000 Tc
0.000 0.000 0.000 N
0.750 0.250 0.500 Cd
0.250 0.750 0.500 Cd
```


CeY2CdN: relaxed, GGA-PBE.

Structure (POSCAR):
```
CeY2CdN
1.0
4.865 0.000 0.000
0.000 4.877 0.000
0.000 0.000 4.877
N Y Cd Ce
1 2 1 1
direct
0.000 0.000 0.000 N
0.000 0.500 0.000 Y
0.000 0.000 0.500 Y
0.500 0.500 0.500 Cd
0.500 0.000 0.000 Ce
```


| no. | DFT total energy (eV/atom) | size of the total moment (μB/f.u.) | formation energy (no corrections) (eV per atom) |
| --- | --- | --- | --- |
| 1 | -5.64 | 0.51 | -0.752 |
| 2 | -5.86 | 2.07 | -0.245 |
| 3 | -6.39 | 0.57 | -0.765 |